[1]
This record from the Alexandria database describes a relaxed structure of La7Pm4In. The functional is PBE.

Structure (extended XYZ):
```
12
Lattice="8.117 -3.080 0.000 8.117 3.080 0.000 -3.982 0.000 8.714" Properties=species:S:1:pos:R:3 pbc="T T T"
La 0.000 0.000 0.000
La 1.596 0.000 6.763
La 4.595 0.000 1.022
La 4.571 0.000 4.996
La 7.680 0.000 3.719
La 7.656 0.000 7.692
La 10.655 0.000 1.952
Pm -1.537 0.000 5.940
Pm 1.412 0.000 3.368
Pm 10.839 0.000 5.347
Pm 13.788 0.000 2.774
In 8.117 0.000 0.000
```

## Properties
volume	36.31	Å³/atom
space group	C2/m
E_tot	-54.911	eV per cell
total moment	0.000	μB/atom

[2]
This record from the Alexandria database describes a relaxed structure of Li7Ag3Au. The functional is PBE.

Structure (extended XYZ):
```
11
Lattice="4.853 -4.759 0.000 4.853 4.759 0.000 -2.374 0.000 4.234" Properties=species:S:1:pos:R:3 pbc="T T T"
Li 0.000 0.000 0.000
Li 2.478 2.293 1.435
Li 1.115 0.000 3.474
Li 4.855 2.293 2.799
Li 2.478 -2.293 1.435
Li 6.218 0.000 0.760
Li 4.855 -2.293 2.799
Ag 4.853 2.141 0.000
Ag 3.666 0.000 2.117
Ag 4.853 -2.141 0.000
Au -1.187 0.000 2.117
```

## Properties
volume	17.78	Å³/atom
space group	C2/m
total moment	0.000	μB/atom
polymorph energy (0 for the lowest one)	0.059	eV/atom

[3]
This record from the Alexandria database describes a relaxed structure of PmCu2S3. The functional is PBE.

Structure (extended XYZ):
```
12
Lattice="4.094 -5.869 0.000 4.094 5.869 0.000 0.000 0.000 4.822" Properties=species:S:1:pos:R:3 pbc="T T T"
Pm 4.094 3.129 3.617
Pm 4.094 -3.129 1.206
Cu 2.536 0.000 0.000
Cu 2.536 0.000 2.411
Cu 5.653 0.000 0.000
Cu 5.653 0.000 2.411
S 1.603 1.715 3.617
S 1.603 -1.715 1.206
S 4.094 1.337 1.206
S 4.094 -1.337 3.617
S 6.586 1.715 3.617
S 6.586 -1.715 1.206
```

## Properties
volume	19.32	Å³/atom
space group	Cmcm
E_tot	-60.656	eV per cell
total moment	0.000	μB/atom

[4]
This record from the Alexandria database describes a relaxed structure of Ac2CdRh2. The functional is PBE.

Structure (extended XYZ):
```
10
Lattice="10.056 0.000 0.000 0.000 6.275 0.000 -2.034 0.000 4.047" Properties=species:S:1:pos:R:3 pbc="T T T"
Ac 1.628 0.000 0.824
Ac 1.367 3.137 3.223
Ac 6.656 3.137 0.824
Ac 6.395 0.000 3.223
Cd 0.000 3.137 0.000
Cd 5.028 0.000 0.000
Rh -1.017 1.420 2.024
Rh -1.017 4.854 2.024
Rh 4.011 1.717 2.024
Rh 4.011 4.558 2.024
```

## Properties
volume	25.54	Å³/atom
space group	C2/m
total moment	0.000	μB/atom
polymorph energy (0 for the lowest one)	0.000	eV/atom

[5]
This record from the Alexandria database describes a relaxed structure of Pm3NdCd6. The functional is PBE.

Structure (extended XYZ):
```
20
Lattice="9.431 0.000 0.000 0.000 5.257 0.000 -3.084 0.000 10.870" Properties=species:S:1:pos:R:3 pbc="T T T"
Pm -0.986 1.314 4.253
Pm 0.760 3.943 2.279
Pm 2.488 1.314 0.023
Pm 3.859 3.943 10.847
Pm 5.587 1.314 8.590
Pm 7.333 3.943 6.617
Nd 2.292 1.314 6.643
Nd 4.055 3.943 4.227
Cd -2.327 3.943 9.869
Cd -0.673 1.314 7.715
Cd 0.894 3.943 5.491
Cd 2.365 1.314 3.323
Cd 0.867 3.943 8.769
Cd 3.924 3.943 1.066
Cd 2.422 1.314 9.803
Cd 5.480 1.314 2.100
Cd 3.982 3.943 7.547
Cd 5.453 1.314 5.379
Cd 7.020 3.943 3.154
Cd 8.674 1.314 1.001
```

## Properties
volume	26.95	Å³/atom
space group	P2_1/m
E_tot	-54.950	eV per cell
total moment	0.027	μB/atom

[6]
This record from the Alexandria database describes a relaxed structure of NbZnF2. The functional is PBE.

Structure (extended XYZ):
```
12
Lattice="2.768 0.000 0.000 -1.384 2.397 0.000 0.000 0.000 24.367" Properties=species:S:1:pos:R:3 pbc="T T T"
Nb 0.000 0.000 0.000
Nb 0.000 1.598 16.245
Nb 1.384 0.799 8.122
Zn 0.000 0.000 12.184
Zn 0.000 1.598 4.061
Zn 1.384 0.799 20.306
F 0.000 0.000 9.678
F 0.000 0.000 14.689
F 0.000 1.598 1.556
F 0.000 1.598 6.567
F 1.384 0.799 17.801
F 1.384 0.799 22.812
```

## Properties
volume	13.48	Å³/atom
space group	R-3m
total moment	0.000	μB/atom
polymorph energy (0 for the lowest one)	0.000	eV/atom